Computed, not measured: crystalline TmLuAs at its relaxed geometry at the PBE-GGA level of DFT.

Structure (POSCAR):
```
TmLuAs
1.0
3.9089 0.0000 0.0000
-1.9545 3.3852 0.0000
0.0000 0.0000 6.2590
Tm Lu As
1 1 1
direct
0.0000 0.0000 0.0000
0.3333 0.6667 0.4733
0.6667 0.3333 0.7348
```

N(E_F) in states/eV/f.u.: 2.92
Energy of formation from the pure elements in eV/atom: -0.81

=====

Computed, not measured: crystalline Th2Ga4Pd3Ru at its relaxed geometry at the PBE-GGA level of DFT.

Structure (POSCAR):
```
Th2Ga4Pd3Ru
1.0
4.3466 0.0000 0.0000
0.0000 4.3466 0.0000
0.0000 0.0000 10.1281
Th Ga Pd Ru
2 4 3 1
direct
0.0000 0.5000 0.2403
0.5000 0.0000 0.7597
0.0000 0.0000 0.5000
0.0000 0.5000 0.8729
0.5000 0.0000 0.1271
0.5000 0.5000 0.5000
0.0000 0.0000 0.0000
0.0000 0.5000 0.6296
0.5000 0.0000 0.3704
0.5000 0.5000 0.0000
```

N(E_F) in states/eV/f.u.: 7.99
Energy of formation from the pure elements in eV/atom: -0.72

=====

Computed, not measured: crystalline Ac4LaPrSe8 at its relaxed geometry at the PBE-GGA level of DFT.

Structure (POSCAR):
```
Ac4LaPrSe8
1.0
4.5630 2.6345 7.2537
-4.5630 2.6345 7.2537
0.0000 -5.2689 7.2537
Ac La Pr Se
4 1 1 8
direct
0.0000 0.0000 0.0000
0.3799 0.3799 0.8740
0.3799 0.8740 0.3799
0.8740 0.3799 0.3799
0.7568 0.7568 0.7568
0.3809 0.3809 0.3809
0.1363 0.1363 0.1363
0.1425 0.1425 0.5992
0.1425 0.5992 0.1425
0.1462 0.6177 0.6177
0.5992 0.1425 0.1425
0.6177 0.1462 0.6177
0.6177 0.6177 0.1462
0.6240 0.6240 0.6240
```

ΔE_f (raw) in eV per atom: -1.80
N(E_F) in states/eV/f.u.: 9.18

=====

Computed, not measured: crystalline AlTeOs2 at its relaxed geometry at the PBE-GGA level of DFT.

Structure (POSCAR):
```
AlTeOs2
1.0
2.8983 0.0000 0.0000
0.0000 5.0429 0.0000
0.0000 0.0000 9.8394
Al Te Os
2 2 4
direct
0.0000 0.0000 0.0000
0.5000 0.5000 0.0000
0.0000 0.5000 0.3164
0.5000 0.0000 0.3164
0.0000 0.0000 0.5617
0.0000 0.5000 0.7833
0.5000 0.0000 0.7833
0.5000 0.5000 0.5617
```

ΔE_f (raw) in eV per atom: 0.75
N(E_F) in states/eV/f.u.: 4.74

=====

Computed, not measured: crystalline CaPu2Sn2Au2 at its relaxed geometry at the PBE-GGA level of DFT.

Structure (POSCAR):
```
CaPu2Sn2Au2
1.0
2.3819 1.3752 9.0535
-2.3819 1.3752 9.0535
0.0000 -2.7504 9.0535
Ca Pu Sn Au
1 2 2 2
direct
0.0000 0.0000 0.0000
0.1428 0.1428 0.1428
0.8572 0.8572 0.8572
0.2634 0.2634 0.2634
0.7366 0.7366 0.7366
0.4319 0.4319 0.4319
0.5681 0.5681 0.5681
```

N(E_F) in states/eV/f.u.: 16.25
Energy of formation from the pure elements in eV/atom: -0.43

=====

Computed, not measured: crystalline CaRu2I at its relaxed geometry at the PBE-GGA level of DFT.

Structure (POSCAR):
```
CaRu2I
1.0
7.6892 0.0000 0.0000
0.0000 7.6892 0.0000
0.0000 0.0000 6.0180
Ca Ru I
4 8 4
direct
0.0000 0.0000 0.0000
0.0000 0.5000 0.2500
0.5000 0.0000 0.7500
0.5000 0.5000 0.5000
0.1845 0.2500 0.6250
0.2500 0.6845 0.8750
0.2500 0.8155 0.3750
0.3155 0.2500 0.1250
0.6845 0.7500 0.1250
0.7500 0.1845 0.3750
0.7500 0.3155 0.8750
0.8155 0.7500 0.6250
0.0000 0.0000 0.5000
0.0000 0.5000 0.7500
0.5000 0.0000 0.2500
0.5000 0.5000 0.0000
```

ΔE_f (raw) in eV per atom: 0.81
N(E_F) in states/eV/f.u.: 6.06